No. 1
Below is a relaxed Ac4Ru3C5 crystal, with properties calculated at the PBE level.

The structure in POSCAR format:
```
Ac4Ru3C5
1.0
4.113 0.000 0.000
2.056 6.040 -0.069
2.056 2.064 9.600
Ac Ru C
4 3 5
direct
0.898 0.312 0.891
0.257 0.827 0.660
0.743 0.173 0.340
0.102 0.688 0.109
0.459 0.753 0.330
0.000 0.500 0.500
0.541 0.247 0.670
0.605 0.973 0.817
0.500 0.500 0.500
0.323 0.241 0.113
0.677 0.759 0.887
0.395 0.027 0.183
```

Results
* formation energy from the elements: -74.3 meV/atom
* SG: No. 12
* crystal system: monoclinic

No. 2
Below is a relaxed Ac8Ru2C crystal, with properties calculated at the PBE level.

The structure in POSCAR format:
```
Ac8Ru2C
1.0
3.945 0.000 -0.838
-0.108 9.704 -0.507
0.071 0.193 10.040
Ac Ru C
8 2 1
direct
0.598 0.544 0.196
0.359 0.037 0.717
0.227 0.325 0.454
0.987 0.807 0.974
0.773 0.675 0.546
0.641 0.963 0.283
0.402 0.456 0.804
0.013 0.193 0.026
0.154 0.735 0.308
0.846 0.265 0.692
0.500 0.000 0.000
```

Results
* formation energy from the elements: -39.9 meV/atom
* SG: No. 12
* crystal system: monoclinic

No. 3
Below is a relaxed AcRu2C2 crystal, with properties calculated at the PBE level.

The structure in POSCAR format:
```
AcRu2C2
1.0
3.809 0.000 0.000
0.000 3.809 0.000
-1.904 -1.904 5.357
Ac Ru C
1 2 2
direct
0.000 0.000 0.000
0.750 0.250 0.500
0.250 0.750 0.500
0.667 0.667 0.335
0.333 0.333 0.665
```

Results
* formation energy from the elements: 53.2 meV/atom
* SG: No. 139
* crystal system: tetragonal

No. 4
Below is a relaxed AcRuC crystal, with properties calculated at the PBE level.

The structure in POSCAR format:
```
AcRuC
1.0
3.393 -0.897 -0.189
-0.900 3.396 0.192
0.730 1.720 5.184
Ac Ru C
1 1 1
direct
0.972 0.989 0.037
0.478 0.998 0.526
0.173 0.386 0.444
```

Results
* formation energy from the elements: 142.7 meV/atom
* SG: No. 1
* crystal system: triclinic
* offset from the most stable computed form: 9.9 meV per atom

No. 5
Below is a relaxed Ac3RuC4 crystal, with properties calculated at the PBE level.

The structure in POSCAR format:
```
Ac3RuC4
1.0
3.982 0.000 0.000
0.000 4.583 -0.102
-1.991 -1.101 8.694
Ac Ru C
3 1 4
direct
0.000 0.500 0.000
0.176 0.209 0.352
0.824 0.791 0.648
0.500 0.000 0.000
0.334 0.275 0.667
0.666 0.725 0.333
0.600 0.832 0.199
0.400 0.168 0.801
```

Results
* formation energy from the elements: -73.9 meV/atom
* SG: No. 12
* crystal system: monoclinic

No. 6
Below is a relaxed AcRuC crystal, with properties calculated at the PBE level.

The structure in POSCAR format:
```
AcRuC
1.0
5.022 0.000 0.000
0.000 3.561 0.000
0.000 -1.781 3.084
Ru Ac C
1 1 1
direct
0.167 0.333 0.667
0.667 0.667 0.333
0.166 0.000 0.000
```

Results
* formation energy from the elements: 180.9 meV/atom
* SG: No. 156
* crystal system: trigonal
* offset from the most stable computed form: 48.1 meV per atom

Number 4 is which compound? AcRuC